(1)
The following is a DFT calculation (PBE) of HPt5 after structural relaxation.

Output
Spin magnetization in μB per cell: 0.00
SG: Amm2 (38)
Energy above the lowest structure with this stoichiometry in meV/atom: 0

abc: 3.859 3.894 6.170
angles: 90.00 108.22 90.00
Positions (direct):
H 0.077 0.000 0.155
Pt 0.789 0.500 0.578
Pt 0.608 0.000 0.217
Pt 0.449 0.500 0.898
Pt 0.297 0.000 0.593
Pt 0.113 0.500 0.226



(2)
The following is a DFT calculation (PBE) of Tb2NdY3 after structural relaxation.

Output
Spin magnetization in μB per cell: 0.00
SG: C2/m (12)
Energy above the lowest structure with this stoichiometry in meV/atom: 0
Formation enthalpy at 0 K in eV per atom: 0.11

abc: 3.524 9.112 13.032
angles: 78.17 82.23 78.85
Positions (direct):
Tb 0.818 0.479 0.885
Tb 0.182 0.521 0.115
Tb 0.658 0.153 0.532
Tb 0.342 0.847 0.468
Nd 0.438 0.479 0.645
Nd 0.562 0.521 0.355
Y 0.039 0.133 0.789
Y 0.961 0.867 0.211
Y 0.600 0.827 0.974
Y 0.400 0.173 0.026
Y 0.739 0.816 0.706
Y 0.261 0.184 0.294



(3)
The following is a DFT calculation (PBE) of Ta2GaAuBr after structural relaxation.

Output
Spin magnetization in μB per cell: 1.78
E_form (uncorrected) in eV per formula unit: 6.7
SG: P4/mmm (123)

abc: 4.958 4.707 4.958
angles: 90.00 90.00 90.00
Site moments in Bohr magnetons follow the coordinates.
Positions (direct):
Au 0.000 0.500 0.000  0.03
Ga 0.000 0.000 0.000  0.04
Br 0.500 0.500 0.500  0.02
Ta 0.000 0.000 0.500  0.67
Ta 0.500 0.000 0.000  0.42



(4)
The following is a DFT calculation (PBE) of NdEr3Co8 after structural relaxation.

Output
Spin magnetization in μB per cell: 7.57
SG: R3m (160)
Formation enthalpy at 0 K in eV per atom: -0.19

abc: 5.070 5.070 8.799
angles: 73.26 73.26 60.00
Site moments in Bohr magnetons follow the coordinates.
Positions (direct):
Nd 0.875 0.875 0.375  -0.21
Er 0.375 0.375 0.874  -0.36
Er 0.000 0.000 0.999  -0.37
Er 0.500 0.500 0.501  -0.37
Co 0.942 0.438 0.182  1.14
Co 0.432 0.938 0.692  1.15
Co 0.438 0.438 0.182  1.14
Co 0.938 0.938 0.692  1.15
Co 0.187 0.187 0.439  1.10
Co 0.688 0.688 0.937  1.17
Co 0.438 0.942 0.182  1.14
Co 0.938 0.432 0.692  1.15



(5)
The following is a DFT calculation (PBE) of Pa2TaN5 after structural relaxation.

Output
Spin magnetization in μB per cell: 0.00
E_form (uncorrected) in eV per formula unit: -11.3
SG: C2/c (15)

abc: 7.057 8.538 10.095
angles: 69.94 69.54 65.59
Positions (direct):
Pa 0.513 0.069 0.655
Pa 0.712 0.103 0.978
Pa 0.793 0.397 0.522
Pa 0.764 0.569 0.155
Pa 0.236 0.431 0.845
Pa 0.207 0.603 0.478
Pa 0.288 0.897 0.022
Pa 0.487 0.931 0.345
Ta 0.914 0.063 0.314
Ta 0.292 0.437 0.186
Ta 0.708 0.563 0.814
Ta 0.086 0.937 0.686
N 0.941 0.033 0.127
N 0.290 0.045 0.550
N 0.810 0.106 0.654
N 0.475 0.190 0.178
N 0.843 0.310 0.322
N 0.385 0.132 0.892
N 0.410 0.368 0.608
N 0.101 0.467 0.373
N 0.114 0.545 0.050
N 0.569 0.394 0.846
N 0.431 0.606 0.154
N 0.886 0.455 0.950
N 0.899 0.533 0.627
N 0.590 0.632 0.392
N 0.615 0.868 0.108
N 0.157 0.690 0.678
N 0.525 0.810 0.822
N 0.190 0.894 0.346
N 0.710 0.955 0.450
N 0.059 0.967 0.873



(6)
The following is a DFT calculation (PBE) of Sr2CaTl9 after structural relaxation.

Output
Spin magnetization in μB per cell: 0.00
SG: P4/mmm (123)
Formation enthalpy at 0 K in eV per atom: -0.25

abc: 4.953 4.953 14.828
angles: 90.00 90.00 90.00
Positions (direct):
Sr 0.000 0.000 0.329
Sr 0.000 0.000 0.671
Ca 0.000 0.000 0.000
Tl 0.500 0.500 0.000
Tl 0.500 0.500 0.335
Tl 0.500 0.500 0.665
Tl 0.500 0.000 0.161
Tl 0.500 0.000 0.500
Tl 0.500 0.000 0.839
Tl 0.000 0.500 0.161
Tl 0.000 0.500 0.500
Tl 0.000 0.500 0.839



(7)
The following is a DFT calculation (PBE) of PmSm4S6 after structural relaxation.

Output
Spin magnetization in μB per cell: 0.00
E_form (uncorrected) in eV per formula unit: -22.5
SG: Cmcm (63)

abc: 3.933 6.890 20.242
angles: 90.00 90.00 106.58
Positions (direct):
Pm 0.653 0.307 0.250
Pm 0.347 0.693 0.750
Sm 0.861 0.722 0.540
Sm 0.409 0.818 0.128
Sm 0.139 0.278 0.460
Sm 0.591 0.182 0.872
Sm 0.861 0.722 0.960
Sm 0.139 0.278 0.040
Sm 0.591 0.182 0.628
Sm 0.409 0.818 0.372
S 0.500 0.000 0.000
S 0.500 0.000 0.500
S 0.051 0.102 0.332
S 0.949 0.898 0.668
S 0.949 0.898 0.832
S 0.051 0.102 0.168
S 0.769 0.539 0.410
S 0.231 0.461 0.590
S 0.231 0.461 0.910
S 0.769 0.539 0.090
S 0.307 0.614 0.250
S 0.693 0.386 0.750



(8)
The following is a DFT calculation (PBE) of In2B2PtRh5 after structural relaxation.

Output
Spin magnetization in μB per cell: 0.00
SG: P4/mbm (127)
Formation enthalpy at 0 K in eV per atom: -0.28

abc: 2.910 9.853 9.853
angles: 90.00 90.00 90.00
Positions (direct):
In 0.000 0.680 0.180
In 0.000 0.320 0.820
In 0.000 0.180 0.320
In 0.000 0.820 0.680
B 0.000 0.123 0.623
B 0.000 0.877 0.377
B 0.000 0.623 0.877
B 0.000 0.377 0.123
Pt 0.000 0.000 0.000
Pt 0.000 0.500 0.500
Rh 0.500 0.228 0.068
Rh 0.500 0.772 0.932
Rh 0.500 0.068 0.772
Rh 0.500 0.728 0.432
Rh 0.500 0.932 0.228
Rh 0.500 0.272 0.568
Rh 0.500 0.568 0.728
Rh 0.500 0.432 0.272
Rh 0.500 0.500 0.000
Rh 0.500 0.000 0.500



(9)
The following is a DFT calculation (PBE) of ZnInIr2 after structural relaxation.

Output
Spin magnetization in μB per cell: 0.00
SG: P4/mmm (123)
Formation enthalpy at 0 K in eV per atom: -0.10

abc: 3.150 3.150 6.281
angles: 90.00 90.00 90.00
Positions (direct):
Zn 0.500 0.500 0.250
Ir 0.000 0.000 0.018
Ir 0.000 0.000 0.482
In 0.500 0.500 0.750



(10)
The following is a DFT calculation (PBE) of KW2 after structural relaxation.

Output
Spin magnetization in μB per cell: 0.57
SG: Cmcm (63)
Energy above the lowest structure with this stoichiometry in meV/atom: 553
Formation enthalpy at 0 K in eV per atom: 1.54

abc: 8.208 8.208 2.959
angles: 90.00 90.00 136.97
Site moments in Bohr magnetons follow the coordinates.
Positions (direct):
K 0.095 0.905 0.750  0.01
K 0.905 0.095 0.250  0.01
W 0.424 0.576 0.750  0.20
W 0.576 0.424 0.250  0.20
W 0.708 0.292 0.750  -0.02
W 0.292 0.708 0.250  -0.02



(11)
The following is a DFT calculation (PBE) of NdHoSc after structural relaxation.

Output
Spin magnetization in μB per cell: 0.00
SG: R-3m (166)
Energy above the lowest structure with this stoichiometry in meV/atom: 4
Formation enthalpy at 0 K in eV per atom: 0.04

abc: 3.510 3.510 16.994
angles: 84.07 84.07 60.00
Positions (direct):
Nd 0.087 0.087 0.739
Nd 0.913 0.913 0.261
Ho 0.639 0.639 0.084
Ho 0.361 0.361 0.916
Sc 0.191 0.191 0.426
Sc 0.809 0.809 0.574



(12)
The following is a DFT calculation (PBE) of BaAl2 after structural relaxation.

Output
Spin magnetization in μB per cell: 0.01
SG: I4_1/amd (141)
Formation enthalpy at 0 K in eV per atom: -0.15

abc: 8.868 8.868 8.868
angles: 148.99 148.99 44.43
Positions (direct):
Al 0.584 0.584 0.000
Al 0.666 0.166 0.500
Al 0.416 0.416 0.000
Al 0.834 0.334 0.500
Ba 0.000 0.000 0.000
Ba 0.250 0.750 0.500



Q: Which value of spin magnetization does entry 8 give?
A: 0.00 μB per cell



Q: What is the spin magnetization in the sixth record?
A: 0.00 μB per cell



Q: Number 9 is which compound?
A: ZnInIr2